# 1
## Pa2TaPt (PBE-GGA)

Data for an optimized crystal structure of Pa2TaPt.

Results
electronic total energy: -9.37 eV per atom
DOS(E_F): 7.1 states/eV/cell
crystal system: tetragonal

Unit cell a=4.280 b=4.280 c=4.592 alpha=90.00 beta=90.00 gamma=90.00
Atoms (fractional coordinates):
Pa 0.000 0.500 0.000
Pa 0.500 0.000 0.000
Ta 0.000 0.000 0.500
Pt 0.500 0.500 0.500


# 2
## PaTaPt2 (PBE-GGA)

Data for an optimized crystal structure of PaTaPt2.

Results
electronic total energy: -8.95 eV per atom
DOS(E_F): 3.8 states/eV/cell
crystal system: tetragonal

Unit cell a=3.289 b=3.289 c=7.073 alpha=90.00 beta=90.00 gamma=90.00
Atoms (fractional coordinates):
Pa 0.000 0.000 0.000
Ta 0.000 0.000 0.500
Pt 0.500 0.500 0.288
Pt 0.500 0.500 0.712


# 3
## TbPaPt3 (PBE-GGA)

Data for an optimized crystal structure of TbPaPt3.

Results
electronic total energy: -7.56 eV per atom
DOS(E_F): 6.3 states/eV/cell
crystal system: orthorhombic

Unit cell a=4.234 b=5.674 c=8.976 alpha=90.00 beta=90.00 gamma=90.00
Atoms (fractional coordinates):
Tb 0.250 0.250 0.056
Tb 0.750 0.750 0.944
Pa 0.250 0.750 0.391
Pa 0.750 0.250 0.609
Pt 0.250 0.250 0.390
Pt 0.250 0.502 0.773
Pt 0.250 0.998 0.773
Pt 0.750 0.002 0.227
Pt 0.750 0.498 0.227
Pt 0.750 0.750 0.610


# 4
## Tb3PaPt4 (PBE-GGA)

Data for an optimized crystal structure of Tb3PaPt4.

Results
electronic total energy: -7.06 eV per atom
DOS(E_F): 7.7 states/eV/cell
crystal system: monoclinic

Unit cell a=7.091 b=8.204 c=7.026 alpha=90.00 beta=109.65 gamma=90.00
Atoms (fractional coordinates):
Tb 0.000 0.124 0.250
Tb 0.000 0.367 0.750
Tb 0.000 0.633 0.250
Tb 0.000 0.876 0.750
Tb 0.500 0.131 0.750
Tb 0.500 0.869 0.250
Pa 0.500 0.374 0.250
Pa 0.500 0.626 0.750
Pt 0.258 0.129 0.010
Pt 0.258 0.384 0.496
Pt 0.258 0.616 0.996
Pt 0.258 0.871 0.510
Pt 0.742 0.129 0.490
Pt 0.742 0.384 0.004
Pt 0.742 0.616 0.504
Pt 0.742 0.871 0.990


# 5
## TbPaPt (PBE-GGA)

Data for an optimized crystal structure of TbPaPt.

Results
electronic total energy: -7.29 eV per atom
DOS(E_F): 15.3 states/eV/cell
crystal system: orthorhombic

Unit cell a=5.730 b=3.394 c=14.887 alpha=90.00 beta=90.00 gamma=90.00
Atoms (fractional coordinates):
Tb 0.140 0.250 0.194
Tb 0.360 0.750 0.694
Tb 0.640 0.250 0.306
Tb 0.860 0.750 0.806
Pa 0.206 0.750 0.980
Pa 0.294 0.250 0.480
Pa 0.706 0.750 0.520
Pa 0.794 0.250 0.020
Pt 0.035 0.750 0.363
Pt 0.465 0.250 0.863
Pt 0.535 0.750 0.137
Pt 0.965 0.250 0.637


# 6
## Tb3PaPt12 (PBE-GGA)

Data for an optimized crystal structure of Tb3PaPt12.

Results
electronic total energy: -7.05 eV per atom
DOS(E_F): 7.7 states/eV/cell
crystal system: tetragonal

Unit cell a=4.144 b=4.144 c=16.532 alpha=90.00 beta=90.00 gamma=90.00
Atoms (fractional coordinates):
Tb 0.000 0.000 0.000
Tb 0.000 0.000 0.246
Tb 0.000 0.000 0.754
Pa 0.000 0.000 0.500
Pt 0.000 0.500 0.125
Pt 0.000 0.500 0.377
Pt 0.000 0.500 0.623
Pt 0.000 0.500 0.875
Pt 0.500 0.000 0.125
Pt 0.500 0.000 0.377
Pt 0.500 0.000 0.623
Pt 0.500 0.000 0.875
Pt 0.500 0.500 0.000
Pt 0.500 0.500 0.251
Pt 0.500 0.500 0.500
Pt 0.500 0.500 0.749